[1]
This record from Alexandria describes NaCu2Ge2 at its PBEsol-relaxed geometry. The functional is SCAN.

Cell and atoms, written as POSCAR:
```
NaCu2Ge2
1.0
4.2203 0.0000 0.0000
0.0000 4.2203 0.0000
-2.1101 -2.1101 4.8970
Na Ge Cu
1 2 2
Direct
0.0000 0.0000 0.0000 Na
0.2500 0.7500 0.5000 Ge
0.7500 0.2500 0.5000 Ge
0.3755 0.3755 0.7510 Cu
0.6245 0.6245 0.2490 Cu
```

Output
Total DFT energy (no corrections)   -14.51 eV per atom
V   17.4 Å³ per atom
Space group   I4/mmm (139)
Excess energy over the best structure of this formula in the dataset   0.131 eV/atom
Crystal system   tetragonal

[2]
This record from Alexandria describes NbTeMoN2 at its PBEsol-relaxed geometry. The functional is SCAN.

Cell and atoms, written as POSCAR:
```
NbTeMoN2
1.0
3.9268 0.0000 0.0000
0.0000 3.9268 0.0000
0.0000 0.0000 5.4554
Mo Te Nb N
1 1 1 2
Direct
0.0000 0.0000 0.0000 Mo
0.0000 0.0000 0.5000 Te
0.5000 0.5000 0.5000 Nb
0.0000 0.5000 0.0000 N
0.5000 0.0000 0.0000 N
```

Output
Total DFT energy (no corrections)   -24.08 eV per atom
V   16.8 Å³ per atom
Energy relative to the elements, uncorrected   67 kJ per mole of atoms
Space group   P4/mmm (123)
Crystal system   tetragonal

[3]
This record from Alexandria describes SrZrSb at its PBEsol-relaxed geometry. The functional is SCAN.

Cell and atoms, written as POSCAR:
```
SrZrSb
1.0
5.0599 0.0000 0.0000
2.5299 4.3820 0.0000
2.5299 1.4607 4.1314
Sb Sr Zr
1 1 1
Direct
0.0000 0.0000 0.0000 Sb
0.5000 0.5000 0.5000 Sr
0.7500 0.7500 0.7500 Zr
```

Output
Total DFT energy (no corrections)   -29.98 eV per atom
V   30.5 Å³ per atom
Energy relative to the elements, uncorrected   9 kJ per mole of atoms
Space group   F-43m (216)
Excess energy over the best structure of this formula in the dataset   0.493 eV/atom
Crystal system   cubic

[4]
This record from Alexandria describes ScFeP3 at its PBEsol-relaxed geometry. The functional is SCAN.

Cell and atoms, written as POSCAR:
```
ScFeP3
1.0
-1.3450 -4.1520 -0.0643
4.1345 -1.3328 -0.4259
0.3855 -0.1922 4.3436
Sc P Fe
1 3 1
Direct
0.5000 0.5000 0.5000 Sc
0.0000 0.5000 0.0000 P
0.0000 0.0000 0.5000 P
0.5000 0.0000 0.0000 P
0.0000 0.0000 0.0000 Fe
```

Output
Total DFT energy (no corrections)   -12.63 eV per atom
V   16.6 Å³ per atom
Space group   Pm-3m (221)
Crystal system   cubic

[5]
This record from Alexandria describes In2AgRu at its PBEsol-relaxed geometry. The functional is SCAN.

Cell and atoms, written as POSCAR:
```
In2AgRu
1.0
3.0618 0.0000 0.0000
1.5309 2.6516 0.0000
1.5309 0.8839 8.9110
Ag In Ru
1 2 1
Direct
0.0000 0.0000 0.0000 Ag
0.2444 0.2444 0.2667 In
0.7556 0.7556 0.7333 In
0.5000 0.5000 0.5000 Ru
```

Output
Total DFT energy (no corrections)   -33.06 eV per atom
V   18.1 Å³ per atom
Space group   R-3m (166)
Crystal system   trigonal

[6]
This record from Alexandria describes Sn3NF at its PBEsol-relaxed geometry. The functional is SCAN.

Cell and atoms, written as POSCAR:
```
Sn3NF
1.0
-0.8828 1.0447 4.5248
0.1653 -4.5959 1.0934
4.6409 0.3624 0.8217
N Sn F
1 3 1
Direct
0.0000 0.0000 0.0000 N
0.0000 0.5000 0.0000 Sn
0.0000 0.0000 0.5000 Sn
0.5000 0.0000 0.0000 Sn
0.5000 0.5000 0.5000 F
```

Output
Total DFT energy (no corrections)   -23.77 eV per atom
V   21.1 Å³ per atom
Energy relative to the elements, uncorrected   34 kJ per mole of atoms
Space group   Pm-3m (221)
Crystal system   cubic

[7]
This record from Alexandria describes BeCo2Mo at its PBEsol-relaxed geometry. The functional is SCAN.

Cell and atoms, written as POSCAR:
```
BeCo2Mo
1.0
2.6224 0.0000 0.0000
0.0000 2.6224 0.0000
0.0000 0.0000 6.0897
Be Mo Co
1 1 2
Direct
0.5000 0.5000 0.5000 Be
0.5000 0.5000 0.0000 Mo
0.0000 0.0000 0.7090 Co
0.0000 0.0000 0.2910 Co
```

Output
Total DFT energy (no corrections)   -18.53 eV per atom
V   10.5 Å³ per atom
Space group   P4/mmm (123)
Crystal system   tetragonal

[8]
This record from Alexandria describes Y3WO at its PBEsol-relaxed geometry. The functional is SCAN.

Cell and atoms, written as POSCAR:
```
Y3WO
1.0
-3.1464 4.1318 0.8626
-2.3520 -0.8229 -4.6375
-3.5048 -3.1571 2.3377
Y O W
3 1 1
Direct
0.0000 0.5000 0.0000 Y
0.0000 0.0000 0.5000 Y
0.5000 0.0000 0.0000 Y
0.5000 0.5000 0.5000 O
0.0000 0.0000 0.0000 W
```

Output
Total DFT energy (no corrections)   -31.12 eV per atom
V   29.2 Å³ per atom
Energy relative to the elements, uncorrected   74 kJ per mole of atoms
Space group   Pm-3m (221)
Crystal system   cubic

[9]
This record from Alexandria describes Nb3AlCr8 at its PBEsol-relaxed geometry. The functional is SCAN.

Cell and atoms, written as POSCAR:
```
Nb3AlCr8
1.0
4.8218 0.0000 0.0000
2.4109 4.1758 0.0000
2.4109 1.3919 7.8735
Nb Al Cr
3 1 8
Direct
0.3750 0.3750 0.8751 Nb
0.9983 0.9983 0.0050 Nb
0.5014 0.5014 0.4958 Nb
0.8750 0.8750 0.3749 Al
0.4371 0.4371 0.1897 Cr
0.9375 0.9375 0.6848 Cr
0.4371 0.9361 0.1897 Cr
0.9375 0.4402 0.6848 Cr
0.1873 0.1873 0.4382 Cr
0.6875 0.6875 0.9374 Cr
0.9361 0.4371 0.1897 Cr
0.4402 0.9375 0.6848 Cr
```

Output
Total DFT energy (no corrections)   -21.24 eV per atom
V   13.2 Å³ per atom
Space group   R3m (160)
Excess energy over the best structure of this formula in the dataset   0.000 eV/atom
Crystal system   trigonal

[10]
This record from Alexandria describes SrMg3Pd at its PBEsol-relaxed geometry. The functional is SCAN.

Cell and atoms, written as POSCAR:
```
SrMg3Pd
1.0
-3.0296 -3.6192 1.8925
2.5697 0.1423 4.3858
-3.1744 3.5693 1.7441
Sr Mg Pd
1 3 1
Direct
0.5000 0.5000 0.5000 Sr
0.0000 0.5000 0.0000 Mg
0.0000 0.0000 0.5000 Mg
0.5000 0.0000 0.0000 Mg
0.0000 0.0000 0.0000 Pd
```

Output
Total DFT energy (no corrections)   -14.36 eV per atom
V   26.3 Å³ per atom
Space group   Pm-3m (221)
Crystal system   cubic

[11]
This record from Alexandria describes FeCuSb2 at its PBEsol-relaxed geometry. The functional is SCAN.

Cell and atoms, written as POSCAR:
```
FeCuSb2
1.0
-1.5170 -3.3598 -2.9821
3.1300 -2.5742 -2.4615
0.6557 -4.5764 1.0530
Cu Fe Sb
1 1 2
Direct
0.5000 0.5000 0.5000 Cu
0.2500 0.2500 0.2500 Fe
0.0000 0.0000 0.0000 Sb
0.7500 0.7500 0.7500 Sb
```

Output
Total DFT energy (no corrections)   -26.26 eV per atom
V   18.8 Å³ per atom
Energy relative to the elements, uncorrected   67 kJ per mole of atoms
Space group   F-43m (216)
Crystal system   cubic

[12]
This record from Alexandria describes K3GaMo at its PBEsol-relaxed geometry. The functional is SCAN.

Cell and atoms, written as POSCAR:
```
K3GaMo
1.0
6.5673 0.0000 0.0000
0.0000 6.5673 0.0000
0.0000 0.0000 6.5673
Mo K Ga
1 3 1
Direct
0.0000 0.0000 0.0000 Mo
0.0000 0.5000 0.0000 K
0.0000 0.0000 0.5000 K
0.5000 0.0000 0.0000 K
0.5000 0.5000 0.5000 Ga
```

Output
Total DFT energy (no corrections)   -13.95 eV per atom
V   56.6 Å³ per atom
Space group   Pm-3m (221)
Crystal system   cubic

[13]
This record from Alexandria describes SmIn2Pd at its PBEsol-relaxed geometry. The functional is SCAN.

Cell and atoms, written as POSCAR:
```
SmIn2Pd
1.0
9.1058 0.0000 0.0000
4.5529 9.7449 0.0000
4.5529 0.0000 9.7449
Sm In Pd
10 20 10
Direct
0.6693 0.7195 0.7195 Sm
0.1082 0.2805 0.2805 Sm
0.3887 0.7195 0.2805 Sm
0.3887 0.2805 0.7195 Sm
0.6726 0.4048 0.0000 Sm
0.0774 0.5952 0.0000 Sm
0.0774 0.0000 0.5952 Sm
0.6726 0.0000 0.4048 Sm
0.4644 0.0000 0.0000 Sm
0.9935 0.0000 0.0000 Sm
0.2675 0.5072 0.2092 In
0.9839 0.4928 0.7908 In
0.7747 0.2092 0.4928 In
0.2675 0.2092 0.5072 In
0.4767 0.7908 0.5072 In
0.9839 0.7908 0.4928 In
0.7747 0.4928 0.2092 In
0.4767 0.5072 0.7908 In
0.2470 0.6173 0.6173 In
0.4817 0.3827 0.3827 In
0.8644 0.6173 0.3827 In
0.8644 0.3827 0.6173 In
0.3549 0.7362 0.0000 In
0.0911 0.2638 0.0000 In
0.0911 0.0000 0.2638 In
0.3549 0.0000 0.7362 In
0.8839 0.8361 0.8361 In
0.5560 0.1639 0.1639 In
0.7200 0.8361 0.1639 In
0.7200 0.1639 0.8361 In
0.1161 0.5000 0.5000 Pd
0.6161 0.5000 0.5000 Pd
0.3744 0.3207 0.0000 Pd
0.6951 0.6793 0.0000 Pd
0.6951 0.0000 0.6793 Pd
0.3744 0.0000 0.3207 Pd
0.2452 0.7835 0.7835 Pd
0.8121 0.2165 0.2165 Pd
0.0287 0.7835 0.2165 Pd
0.0287 0.2165 0.7835 Pd
```

Output
Total DFT energy (no corrections)   -36.78 eV per atom
V   21.6 Å³ per atom
Space group   I4mm (107)
Crystal system   tetragonal